No. 1
Density functional theory data (PBE-GGA) for a relaxed structure of Sr2NbGaP.

Properties
final energy	-3.645	eV per atom

The structure in CIF format:
```
data_Sr2NbGaP
_cell_length_a 6.063
_cell_length_b 6.063
_cell_length_c 4.584
_cell_angle_alpha 90.00
_cell_angle_beta 90.00
_cell_angle_gamma 90.00
_space_group_name_H-M_alt 'P 1'
_space_group_IT_number 1
loop_
_space_group_symop_operation_xyz
'x,y,z'
loop_
_atom_site_label
_atom_site_fract_x
_atom_site_fract_y
_atom_site_fract_z
Sr1 0.000 0.500 0.000
Sr2 0.500 0.000 0.000
Nb1 0.000 0.000 0.500
Ga1 0.500 0.500 0.000
P1 0.500 0.500 0.500
```



No. 2
Density functional theory data (PBE-GGA) for a relaxed structure of Pa2NbGa.

Properties
energy above the most stable polymorph in this dataset	0.2093	eV/atom

The structure in CIF format:
```
data_Pa2NbGa
_cell_length_a 5.020
_cell_length_b 5.020
_cell_length_c 5.020
_cell_angle_alpha 60.00
_cell_angle_beta 60.00
_cell_angle_gamma 60.00
_space_group_name_H-M_alt 'P 1'
_space_group_IT_number 1
loop_
_space_group_symop_operation_xyz
'x,y,z'
loop_
_atom_site_label
_atom_site_fract_x
_atom_site_fract_y
_atom_site_fract_z
Pa1 0.250 0.250 0.250
Pa2 0.750 0.750 0.750
Nb1 0.000 0.000 0.000
Ga1 0.500 0.500 0.500
```



No. 3
Density functional theory data (PBE-GGA) for a relaxed structure of Pa2NbGa.

Properties
energy above the most stable polymorph in this dataset	0.1272	eV/atom

The structure in CIF format:
```
data_Pa2NbGa
_cell_length_a 3.772
_cell_length_b 3.772
_cell_length_c 6.270
_cell_angle_alpha 90.00
_cell_angle_beta 90.00
_cell_angle_gamma 90.00
_space_group_name_H-M_alt 'P 1'
_space_group_IT_number 1
loop_
_space_group_symop_operation_xyz
'x,y,z'
loop_
_atom_site_label
_atom_site_fract_x
_atom_site_fract_y
_atom_site_fract_z
Pa1 0.000 0.000 0.230
Pa2 0.000 0.000 0.770
Nb1 0.500 0.500 0.500
Ga1 0.500 0.500 0.000
```



No. 4
Density functional theory data (PBE-GGA) for a relaxed structure of Pa3NbGa12.

Properties
final energy	-5.011	eV per atom

The structure in CIF format:
```
data_Pa3NbGa12
_cell_length_a 4.245
_cell_length_b 4.245
_cell_length_c 16.838
_cell_angle_alpha 90.00
_cell_angle_beta 90.00
_cell_angle_gamma 90.00
_space_group_name_H-M_alt 'P 1'
_space_group_IT_number 1
loop_
_space_group_symop_operation_xyz
'x,y,z'
loop_
_atom_site_label
_atom_site_fract_x
_atom_site_fract_y
_atom_site_fract_z
Pa1 0.000 0.000 0.000
Pa2 0.000 0.000 0.260
Pa3 0.000 0.000 0.740
Nb1 0.000 0.000 0.500
Ga1 0.000 0.500 0.130
Ga2 0.000 0.500 0.386
Ga3 0.000 0.500 0.614
Ga4 0.000 0.500 0.870
Ga5 0.500 0.000 0.130
Ga6 0.500 0.000 0.386
Ga7 0.500 0.000 0.614
Ga8 0.500 0.000 0.870
Ga9 0.500 0.500 0.000
Ga10 0.500 0.500 0.254
Ga11 0.500 0.500 0.500
Ga12 0.500 0.500 0.746
```



No. 5
Density functional theory data (PBE-GGA) for a relaxed structure of PaNbGa4.

Properties
final energy	-5.412	eV per atom

The structure in CIF format:
```
data_PaNbGa4
_cell_length_a 5.355
_cell_length_b 5.355
_cell_length_c 5.355
_cell_angle_alpha 60.00
_cell_angle_beta 60.00
_cell_angle_gamma 60.00
_space_group_name_H-M_alt 'P 1'
_space_group_IT_number 1
loop_
_space_group_symop_operation_xyz
'x,y,z'
loop_
_atom_site_label
_atom_site_fract_x
_atom_site_fract_y
_atom_site_fract_z
Pa1 0.000 0.000 0.000
Nb1 0.750 0.750 0.750
Ga1 0.376 0.376 0.376
Ga2 0.376 0.376 0.873
Ga3 0.376 0.873 0.376
Ga4 0.873 0.376 0.376
```



No. 6
Density functional theory data (PBE-GGA) for a relaxed structure of Pa2NbGa2.

Properties
final energy	-7.011	eV per atom

The structure in CIF format:
```
data_Pa2NbGa2
_cell_length_a 7.212
_cell_length_b 7.212
_cell_length_c 7.212
_cell_angle_alpha 156.54
_cell_angle_beta 134.59
_cell_angle_gamma 51.73
_space_group_name_H-M_alt 'P 1'
_space_group_IT_number 1
loop_
_space_group_symop_operation_xyz
'x,y,z'
loop_
_atom_site_label
_atom_site_fract_x
_atom_site_fract_y
_atom_site_fract_z
Pa1 0.108 0.108 0.000
Pa2 0.892 0.892 0.000
Nb1 0.500 0.500 0.000
Ga1 0.313 0.813 0.500
Ga2 0.687 0.187 0.500
```



No. 7
Density functional theory data (PBE-GGA) for a relaxed structure of Pa2NbGa.

Properties
energy above the most stable polymorph in this dataset	0.0000	eV/atom

The structure in CIF format:
```
data_Pa2NbGa
_cell_length_a 4.286
_cell_length_b 4.286
_cell_length_c 4.612
_cell_angle_alpha 90.00
_cell_angle_beta 90.00
_cell_angle_gamma 90.00
_space_group_name_H-M_alt 'P 1'
_space_group_IT_number 1
loop_
_space_group_symop_operation_xyz
'x,y,z'
loop_
_atom_site_label
_atom_site_fract_x
_atom_site_fract_y
_atom_site_fract_z
Pa1 0.000 0.500 0.000
Pa2 0.500 0.000 0.000
Nb1 0.000 0.000 0.500
Ga1 0.500 0.500 0.500
```



No. 8
Density functional theory data (PBE-GGA) for a relaxed structure of Pa2Nb3Ga4.

Properties
final energy	-7.140	eV per atom

The structure in CIF format:
```
data_Pa2Nb3Ga4
_cell_length_a 7.223
_cell_length_b 7.181
_cell_length_c 7.171
_cell_angle_alpha 90.00
_cell_angle_beta 109.97
_cell_angle_gamma 90.00
_space_group_name_H-M_alt 'P 1'
_space_group_IT_number 1
loop_
_space_group_symop_operation_xyz
'x,y,z'
loop_
_atom_site_label
_atom_site_fract_x
_atom_site_fract_y
_atom_site_fract_z
Pa1 0.178 0.154 0.058
Pa2 0.178 0.346 0.558
Pa3 0.822 0.654 0.442
Pa4 0.822 0.846 0.942
Nb1 0.254 0.681 0.251
Nb2 0.254 0.819 0.751
Nb3 0.500 0.000 0.500
Nb4 0.500 0.500 0.000
Nb5 0.746 0.181 0.249
Nb6 0.746 0.319 0.749
Ga1 0.085 0.537 0.871
Ga2 0.085 0.963 0.371
Ga3 0.485 0.131 0.863
Ga4 0.485 0.369 0.363
Ga5 0.515 0.631 0.637
Ga6 0.515 0.869 0.137
Ga7 0.915 0.037 0.629
Ga8 0.915 0.463 0.129
```



No. 9
Density functional theory data (PBE-GGA) for a relaxed structure of PaNb2Ga2.

Properties
final energy	-7.085	eV per atom

The structure in CIF format:
```
data_PaNb2Ga2
_cell_length_a 6.088
_cell_length_b 6.088
_cell_length_c 7.802
_cell_angle_alpha 97.81
_cell_angle_beta 97.81
_cell_angle_gamma 130.47
_space_group_name_H-M_alt 'P 1'
_space_group_IT_number 1
loop_
_space_group_symop_operation_xyz
'x,y,z'
loop_
_atom_site_label
_atom_site_fract_x
_atom_site_fract_y
_atom_site_fract_z
Pa1 0.126 0.874 0.750
Pa2 0.874 0.126 0.250
Nb1 0.280 0.531 0.061
Nb2 0.469 0.720 0.439
Nb3 0.531 0.280 0.561
Nb4 0.720 0.469 0.939
Ga1 0.163 0.837 0.250
Ga2 0.414 0.586 0.750
Ga3 0.586 0.414 0.250
Ga4 0.837 0.163 0.750
```



No. 10
Density functional theory data (PBE-GGA) for a relaxed structure of Pa3Nb3Ga8.

Properties
final energy	-6.228	eV per atom

The structure in CIF format:
```
data_Pa3Nb3Ga8
_cell_length_a 8.416
_cell_length_b 8.416
_cell_length_c 8.416
_cell_angle_alpha 150.01
_cell_angle_beta 112.73
_cell_angle_gamma 75.38
_space_group_name_H-M_alt 'P 1'
_space_group_IT_number 1
loop_
_space_group_symop_operation_xyz
'x,y,z'
loop_
_atom_site_label
_atom_site_fract_x
_atom_site_fract_y
_atom_site_fract_z
Pa1 0.000 0.000 0.000
Pa2 0.299 0.299 0.000
Pa3 0.701 0.701 0.000
Nb1 0.313 0.500 0.813
Nb2 0.500 0.000 0.500
Nb3 0.687 0.500 0.187
Ga1 0.023 0.658 0.365
Ga2 0.144 0.860 0.285
Ga3 0.292 0.658 0.635
Ga4 0.425 0.140 0.285
Ga5 0.575 0.860 0.715
Ga6 0.708 0.342 0.365
Ga7 0.856 0.140 0.715
Ga8 0.977 0.342 0.635
```



No. 11
Density functional theory data (PBE-GGA) for a relaxed structure of PuPaNbGa.

Properties
final energy	-9.127	eV per atom

The structure in CIF format:
```
data_PuPaNbGa
_cell_length_a 4.999
_cell_length_b 4.999
_cell_length_c 4.999
_cell_angle_alpha 60.00
_cell_angle_beta 60.00
_cell_angle_gamma 60.00
_space_group_name_H-M_alt 'P 1'
_space_group_IT_number 1
loop_
_space_group_symop_operation_xyz
'x,y,z'
loop_
_atom_site_label
_atom_site_fract_x
_atom_site_fract_y
_atom_site_fract_z
Pu1 0.000 0.000 0.000
Pa1 0.500 0.500 0.500
Nb1 0.250 0.250 0.250
Ga1 0.750 0.750 0.750
```



No. 12
Density functional theory data (PBE-GGA) for a relaxed structure of PaNb2Ga2Ru5.

Properties
final energy	-8.432	eV per atom

The structure in CIF format:
```
data_PaNb2Ga2Ru5
_cell_length_a 9.436
_cell_length_b 9.436
_cell_length_c 3.684
_cell_angle_alpha 90.00
_cell_angle_beta 90.00
_cell_angle_gamma 90.00
_space_group_name_H-M_alt 'P 1'
_space_group_IT_number 1
loop_
_space_group_symop_operation_xyz
'x,y,z'
loop_
_atom_site_label
_atom_site_fract_x
_atom_site_fract_y
_atom_site_fract_z
Pa1 0.000 0.000 0.000
Pa2 0.500 0.500 0.000
Nb1 0.164 0.336 0.000
Nb2 0.336 0.836 0.000
Nb3 0.664 0.164 0.000
Nb4 0.836 0.664 0.000
Ga1 0.132 0.632 0.000
Ga2 0.368 0.132 0.000
Ga3 0.632 0.868 0.000
Ga4 0.868 0.368 0.000
Ru1 0.000 0.500 0.500
Ru2 0.061 0.794 0.500
Ru3 0.206 0.061 0.500
Ru4 0.294 0.561 0.500
Ru5 0.439 0.294 0.500
Ru6 0.500 0.000 0.500
Ru7 0.561 0.706 0.500
Ru8 0.706 0.439 0.500
Ru9 0.794 0.939 0.500
Ru10 0.939 0.206 0.500
```



No. 13
Density functional theory data (PBE-GGA) for a relaxed structure of PaNbGaTc.

Properties
final energy	-8.398	eV per atom

The structure in CIF format:
```
data_PaNbGaTc
_cell_length_a 4.670
_cell_length_b 4.670
_cell_length_c 4.670
_cell_angle_alpha 60.00
_cell_angle_beta 60.00
_cell_angle_gamma 60.00
_space_group_name_H-M_alt 'P 1'
_space_group_IT_number 1
loop_
_space_group_symop_operation_xyz
'x,y,z'
loop_
_atom_site_label
_atom_site_fract_x
_atom_site_fract_y
_atom_site_fract_z
Pa1 0.000 0.000 0.000
Nb1 0.250 0.250 0.250
Ga1 0.500 0.500 0.500
Tc1 0.750 0.750 0.750
```



No. 14
Density functional theory data (PBE-GGA) for a relaxed structure of PaNbVGa.

Properties
final energy	-7.956	eV per atom

The structure in CIF format:
```
data_PaNbVGa
_cell_length_a 4.640
_cell_length_b 4.640
_cell_length_c 4.640
_cell_angle_alpha 60.00
_cell_angle_beta 60.00
_cell_angle_gamma 60.00
_space_group_name_H-M_alt 'P 1'
_space_group_IT_number 1
loop_
_space_group_symop_operation_xyz
'x,y,z'
loop_
_atom_site_label
_atom_site_fract_x
_atom_site_fract_y
_atom_site_fract_z
Pa1 0.000 0.000 0.000
Nb1 0.750 0.750 0.750
V1 0.250 0.250 0.250
Ga1 0.500 0.500 0.500
```



No. 15
Density functional theory data (PBE-GGA) for a relaxed structure of ZrPaNbGa.

Properties
final energy	-7.814	eV per atom

The structure in CIF format:
```
data_ZrPaNbGa
_cell_length_a 4.932
_cell_length_b 4.932
_cell_length_c 4.932
_cell_angle_alpha 60.00
_cell_angle_beta 60.00
_cell_angle_gamma 60.00
_space_group_name_H-M_alt 'P 1'
_space_group_IT_number 1
loop_
_space_group_symop_operation_xyz
'x,y,z'
loop_
_atom_site_label
_atom_site_fract_x
_atom_site_fract_y
_atom_site_fract_z
Zr1 0.000 0.000 0.000
Pa1 0.500 0.500 0.500
Nb1 0.250 0.250 0.250
Ga1 0.750 0.750 0.750
```



No. 16
Density functional theory data (PBE-GGA) for a relaxed structure of NbGaPb2.

Properties
final energy	-4.522	eV per atom

The structure in CIF format:
```
data_NbGaPb2
_cell_length_a 6.535
_cell_length_b 6.535
_cell_length_c 6.535
_cell_angle_alpha 102.12
_cell_angle_beta 102.12
_cell_angle_gamma 125.45
_space_group_name_H-M_alt 'P 1'
_space_group_IT_number 1
loop_
_space_group_symop_operation_xyz
'x,y,z'
loop_
_atom_site_label
_atom_site_fract_x
_atom_site_fract_y
_atom_site_fract_z
Nb1 0.000 0.000 0.000
Nb2 0.750 0.250 0.500
Ga1 0.250 0.750 0.500
Ga2 0.500 0.500 0.000
Pb1 0.111 0.625 0.986
Pb2 0.375 0.361 0.486
Pb3 0.639 0.125 0.014
Pb4 0.875 0.889 0.514
```



No. 17
Density functional theory data (PBE-GGA) for a relaxed structure of Nb2GaPb.

Properties
final energy	-6.281	eV per atom

The structure in CIF format:
```
data_Nb2GaPb
_cell_length_a 10.617
_cell_length_b 10.617
_cell_length_c 10.617
_cell_angle_alpha 158.00
_cell_angle_beta 158.00
_cell_angle_gamma 31.32
_space_group_name_H-M_alt 'P 1'
_space_group_IT_number 1
loop_
_space_group_symop_operation_xyz
'x,y,z'
loop_
_atom_site_label
_atom_site_fract_x
_atom_site_fract_y
_atom_site_fract_z
Nb1 0.113 0.625 0.988
Nb2 0.375 0.363 0.488
Nb3 0.637 0.125 0.012
Nb4 0.875 0.887 0.512
Ga1 0.000 0.000 0.000
Ga2 0.750 0.250 0.500
Pb1 0.250 0.750 0.500
Pb2 0.500 0.500 0.000
```



No. 18
Density functional theory data (PBE-GGA) for a relaxed structure of NbGaPb2.

Properties
final energy	-4.569	eV per atom

The structure in CIF format:
```
data_NbGaPb2
_cell_length_a 11.774
_cell_length_b 11.774
_cell_length_c 11.774
_cell_angle_alpha 15.49
_cell_angle_beta 15.49
_cell_angle_gamma 15.49
_space_group_name_H-M_alt 'P 1'
_space_group_IT_number 1
loop_
_space_group_symop_operation_xyz
'x,y,z'
loop_
_atom_site_label
_atom_site_fract_x
_atom_site_fract_y
_atom_site_fract_z
Nb1 0.000 0.000 0.000
Ga1 0.500 0.500 0.500
Pb1 0.085 0.085 0.085
Pb2 0.915 0.915 0.915
```



No. 19
Density functional theory data (PBE-GGA) for a relaxed structure of NbGaPb3.

Properties
energy above the most stable polymorph in this dataset	0.5475	eV/atom

The structure in CIF format:
```
data_NbGaPb3
_cell_length_a 5.406
_cell_length_b 5.406
_cell_length_c 5.406
_cell_angle_alpha 90.00
_cell_angle_beta 90.00
_cell_angle_gamma 90.00
_space_group_name_H-M_alt 'P 1'
_space_group_IT_number 1
loop_
_space_group_symop_operation_xyz
'x,y,z'
loop_
_atom_site_label
_atom_site_fract_x
_atom_site_fract_y
_atom_site_fract_z
Nb1 0.000 0.000 0.000
Ga1 0.500 0.500 0.500
Pb1 0.000 0.500 0.500
Pb2 0.500 0.000 0.500
Pb3 0.500 0.500 0.000
```



No. 20
Density functional theory data (PBE-GGA) for a relaxed structure of NbGa2Pb2.

Properties
energy above the most stable polymorph in this dataset	0.1525	eV/atom

The structure in CIF format:
```
data_NbGa2Pb2
_cell_length_a 7.686
_cell_length_b 7.686
_cell_length_c 3.988
_cell_angle_alpha 90.00
_cell_angle_beta 90.00
_cell_angle_gamma 90.00
_space_group_name_H-M_alt 'P 1'
_space_group_IT_number 1
loop_
_space_group_symop_operation_xyz
'x,y,z'
loop_
_atom_site_label
_atom_site_fract_x
_atom_site_fract_y
_atom_site_fract_z
Nb1 0.000 0.000 0.000
Nb2 0.500 0.500 0.000
Ga1 0.157 0.343 0.500
Ga2 0.343 0.843 0.500
Ga3 0.657 0.157 0.500
Ga4 0.843 0.657 0.500
Pb1 0.149 0.649 0.000
Pb2 0.351 0.149 0.000
Pb3 0.649 0.851 0.000
Pb4 0.851 0.351 0.000
```